(1)
A geometry-optimized ZrTaGaC2 structure. Source: Alexandria via LeMat-Bulk, functional PBE.

a b c (Å): 4.162 4.162 5.580
angles (deg): 90.00 90.00 90.00
Element x y z (fractional)
Zr (0.000, 0.000, 0.000)
Ta (0.000, 0.000, 0.500)
Ga (0.500, 0.500, 0.000)
C (0.000, 0.500, 0.500)
C (0.500, 0.000, 0.500)

- Energy of formation: 1.44 eV/atom

=====

(2)
A geometry-optimized Pm6In2CO structure. Source: Alexandria via LeMat-Bulk, functional PBE.

a b c (Å): 7.099 7.099 7.099
angles (deg): 60.00 60.00 60.00
Element x y z (fractional)
Pm (0.249, 0.249, 0.751)
Pm (0.249, 0.751, 0.249)
Pm (0.249, 0.751, 0.751)
Pm (0.751, 0.249, 0.249)
Pm (0.751, 0.249, 0.751)
Pm (0.751, 0.751, 0.249)
In (0.250, 0.250, 0.250)
In (0.750, 0.750, 0.750)
C (0.000, 0.000, 0.000)
O (0.500, 0.500, 0.500)

- E_form (uncorrected): -0.9330 eV/atom

=====

(3)
A geometry-optimized LaHfNb2N structure. Source: Alexandria via LeMat-Bulk, functional PBE.

a b c (Å): 5.324 5.324 4.104
angles (deg): 90.00 90.00 90.00
Element x y z (fractional)
La (0.000, 0.000, 0.000)
Hf (0.500, 0.500, 0.500)
Nb (0.000, 0.500, 0.500)
Nb (0.500, 0.000, 0.500)
N (0.500, 0.500, 0.000)

- E_form (uncorrected): 1.0428 eV/atom

=====

(4)
A geometry-optimized Na2LiSi2 structure. Source: Alexandria via LeMat-Bulk, functional PBE.

a b c (Å): 7.981 7.981 3.474
angles (deg): 90.00 90.00 90.00
Element x y z (fractional)
Na (0.191, 0.309, 0.000)
Na (0.309, 0.809, 0.000)
Na (0.691, 0.191, 0.000)
Na (0.809, 0.691, 0.000)
Li (0.000, 0.000, 0.500)
Li (0.500, 0.500, 0.500)
Si (0.103, 0.603, 0.500)
Si (0.397, 0.103, 0.500)
Si (0.603, 0.897, 0.500)
Si (0.897, 0.397, 0.500)

- E_form (uncorrected): 0.1647 eV/atom

=====

Number 1: magnetic moment 0.00 μB per atom, uncorrected energy -0.510 Ry/atom. Number 2: magnetic moment 0.00 μB per atom, uncorrected energy -0.423 Ry/atom. Number 3: magnetic moment 0.00 μB per atom, uncorrected energy -0.561 Ry/atom. Number 4: magnetic moment 0.00 μB per atom, uncorrected energy -0.214 Ry/atom.